1.
Here is a relaxed structure of Mn3V2S8 from the Alexandria database. Energies are from PBE.

Computed properties:
Electronic total energy ... -6.6491 eV per atom

Cell: 12.257 6.689 5.939 Å, 90.00 108.16 90.00°
Space group C2/m (No. 12)
Asymmetric unit:
Mn 0.000 0.000 0.000 [2 per cell]
Mn 0.000 0.260 0.500 [4 per cell]
V 0.236 0.500 0.159 [4 per cell]
S 0.116 0.000 0.428 [4 per cell]
S 0.117 0.500 0.410 [4 per cell]
S 0.125 0.241 0.907 [8 per cell]

2.
Here is a relaxed structure of Ce2TeSe from the Alexandria database. Energies are from PBE.

Computed properties:
Electronic total energy ... -6.2073 eV per atom

Cell: 4.3165 4.3165 21.5320 Å, 90.00 90.00 120.00°
Space group R-3m (No. 166, hexagonal axes)
Asymmetric unit:
Ce 0.0000 0.0000 0.2415 [6 per cell]
Te 0.0000 0.0000 0.0000 [3 per cell]
Se 0.0000 0.0000 0.5000 [3 per cell]

3.
Here is a relaxed structure of Ba8LiPd2 from the Alexandria database. Energies are from PBE.

Computed properties:
Formation energy from the elements ... -0.0238 eV per atom

Cell: 10.4195 10.4195 6.7225 Å, 90.00 90.00 120.00°
Space group P-3 (No. 147)
Asymmetric unit:
Ba 0.1663 0.8318 0.2570 [6 per cell]
Ba 0.3333 0.6667 0.7543 [2 per cell]
Li 0.0000 0.0000 0.0000 [1 per cell]
Pd 0.3333 0.6667 0.2483 [2 per cell]

4.
Here is a relaxed structure of TbDyRu from the Alexandria database. Energies are from PBE.

Computed properties:
Formation energy from the elements ... -0.3278 eV per atom

Cell: 3.405 3.405 13.076 Å, 90.00 90.00 90.00°
Space group I4mm (No. 107)
Asymmetric unit:
Tb 0.000 0.000 0.000 [2 per cell]
Dy 0.000 0.000 0.253 [2 per cell]
Ru 0.000 0.000 0.627 [2 per cell]

5.
Here is a relaxed structure of CeMgZnGe from the Alexandria database. Energies are from PBE.

Computed properties:
Formation energy from the elements ... -0.3776 eV per atom

Cell: 6.942 6.942 6.942 Å, 90.00 90.00 90.00°
Space group F-43m (No. 216)
Asymmetric unit:
Ce 0.000 0.000 0.000 [4 per cell]
Mg 0.000 0.000 0.500 [4 per cell]
Zn 0.250 0.250 0.250 [4 per cell]
Ge 0.250 0.250 0.750 [4 per cell]

6.
Here is a relaxed structure of TbTePbO6 from the Alexandria database. Energies are from PBE.

Computed properties:
Electronic total energy ... -6.2352 eV per atom

Cell: 5.7041 5.7041 9.5578 Å, 90.00 90.00 120.00°
Space group P-31c (No. 163)
Asymmetric unit:
Tb 0.3333 0.6667 0.2500 [2 per cell]
Te 0.3333 0.6667 0.7500 [2 per cell]
Pb 0.0000 0.0000 0.0000 [2 per cell]
O 0.0424 0.3839 0.6369 [12 per cell]

7.
Here is a relaxed structure of Ta2InAg from the Alexandria database. Energies are from PBE.

Computed properties:
Formation energy from the elements ... 0.5234 eV per atom

Cell: 6.744 6.744 6.744 Å, 90.00 90.00 90.00°
Space group F-43m (No. 216)
Asymmetric unit:
Ta 0.000 0.000 0.000 [4 per cell]
Ta 0.250 0.250 0.250 [4 per cell]
In 0.250 0.250 0.750 [4 per cell]
Ag 0.000 0.000 0.500 [4 per cell]

8.
Here is a relaxed structure of InGaAu2 from the Alexandria database. Energies are from PBE.

Computed properties:
Formation energy from the elements ... -0.2187 eV per atom

Cell: 5.731 4.041 7.384 Å, 90.00 108.15 90.00°
Space group P2_1/m (No. 11)
Asymmetric unit:
In 0.214 0.250 0.175 [2 per cell]
Ga 0.171 0.250 0.665 [2 per cell]
Au 0.310 0.750 0.916 [2 per cell]
Au 0.312 0.750 0.478 [2 per cell]

Sequential N(E_F) output: 11.5 40.1 13.0 2.9 18.3 8.0 27.8 2.1 states/eV/cell